P | BaSnPO2 after structural relaxation. Source: Alexandria, functional PBE-GGA.

As for the density: 4.1 g cm⁻³. Its space-group type is P4/mmm.

abc: 4.434 4.434 6.514
angles: 90.00 90.00 90.00
Sites, in units of the cell vectors:
1 Ba 0.000 0.000 0.000
2 Sn 0.500 0.500 0.500
3 P 0.000 0.000 0.500
4 O 0.000 0.500 0.000
5 O 0.500 0.000 0.000

Q | BaSnPO2 after structural relaxation. Source: Alexandria, functional PBE-GGA.

As for the density: 5.6 g cm⁻³. Its space-group type is P4/mmm.

abc: 4.340 4.340 5.060
angles: 90.00 90.00 90.00
Sites, in units of the cell vectors:
1 Ba 0.000 0.000 0.000
2 Sn 0.500 0.500 0.500
3 P 0.500 0.500 0.000
4 O 0.000 0.500 0.500
5 O 0.500 0.000 0.500

Most stable to least stable, the ends of the list are Q and P.